(1)
{"formula": "TeIr2Pb", "functional": "PBE", "state": "optimized geometry", "lattice": [[-4.562, -0.926, -1.304], [-1.028, -3.988, -2.532], [-2.420, -3.629, 2.084]], "species": ["Te", "Ir", "Ir", "Pb"], "frac_coords": [[0.750, 0.750, 0.750], [0.250, 0.250, 0.250], [0.000, 0.000, 0.000], [0.500, 0.500, 0.500]], "total_magnetization_mub_per_fu": 0.00, "raw_formation_energy_mev_per_atom": 868, "polymorph_energy_ev_per_atom": 0.643, "dos_ef_per_ev_atom": 1.17}

***

(2)
{"formula": "Te2IrPb", "functional": "PBE", "state": "optimized geometry", "lattice": [[-2.399, 0.185, -4.531], [-0.660, -4.628, 2.092], [-5.012, -0.874, 0.673]], "species": ["Pb", "Ir", "Te", "Te"], "frac_coords": [[0.500, 0.500, 0.000], [0.000, 0.500, 0.500], [0.000, 0.000, 0.000], [0.500, 0.000, 0.500]], "total_magnetization_mub_per_fu": 0.00, "raw_formation_energy_mev_per_atom": 384, "dos_ef_per_ev_atom": 0.80}